No. 1
PBE Hf3CoAs, optimized geometry; calculated volume = 106.9 Å³ per cell; calculated formation energy = 0.00 eV/f.u.; relative energy among the computed polymorphs = 2.87 eV per formula unit
1.0
4.745 0.000 0.000
0.000 4.745 0.000
0.000 0.000 4.745
Hf Co As
3 1 1
Direct
0.000 0.000 0.500
0.000 0.500 0.000
0.500 0.000 0.000
0.000 0.000 0.000
0.500 0.500 0.500

***

No. 2
PBE Hf6CoAs2, optimized geometry; calculated volume = 409.7 Å³ per cell; calculated formation energy = -1.60 eV/f.u.
1.0
6.044 0.000 0.000
0.000 6.044 0.000
0.000 0.000 11.215
Hf Co As
12 2 4
Direct
0.196 0.196 0.160
0.196 0.196 0.840
0.224 0.224 0.500
0.276 0.724 0.000
0.304 0.696 0.340
0.304 0.696 0.660
0.696 0.304 0.340
0.696 0.304 0.660
0.724 0.276 0.000
0.776 0.776 0.500
0.804 0.804 0.160
0.804 0.804 0.840
0.000 0.000 0.000
0.500 0.500 0.500
0.000 0.000 0.339
0.000 0.000 0.661
0.500 0.500 0.161
0.500 0.500 0.839

***

No. 3
PBE Hf3CoAs2, optimized geometry; calculated volume = 422.5 Å³ per cell; calculated formation energy = -4.77 eV/f.u.
1.0
10.726 0.000 0.000
0.000 3.753 0.000
0.000 0.000 10.496
Hf Co As
12 4 8
Direct
0.050 0.250 0.119
0.121 0.750 0.558
0.222 0.250 0.788
0.278 0.750 0.288
0.379 0.250 0.058
0.450 0.750 0.619
0.550 0.250 0.381
0.621 0.750 0.942
0.722 0.250 0.712
0.778 0.750 0.212
0.879 0.250 0.442
0.950 0.750 0.881
0.127 0.250 0.373
0.373 0.750 0.873
0.627 0.250 0.127
0.873 0.750 0.627
0.015 0.750 0.306
0.189 0.750 0.998
0.311 0.250 0.498
0.485 0.250 0.806
0.515 0.750 0.194
0.689 0.750 0.502
0.811 0.250 0.002
0.985 0.250 0.694

***

Number 1: magnetic moment 0.0 μB/f.u.. Number 2: magnetic moment 0.0 μB/f.u.. Number 3: magnetic moment 0.0 μB/f.u..